[1]
This record from Alexandria via LeMat-Bulk describes PrZn2Pd4 after structural relaxation. The functional is PBE-GGA.

Geometry as CIF:
```
data_PrZn2Pd4
_chemical_formula_sum 'Pr2 Zn4 Pd8'
_symmetry_space_group_name_H-M 'I 4/m m m'
_symmetry_Int_Tables_number 139
_symmetry_space_group_name_Hall '-I 4 2'
_cell_length_a 7.883
_cell_length_b 7.883
_cell_length_c 5.142
_cell_angle_alpha 90.00
_cell_angle_beta 90.00
_cell_angle_gamma 90.00
loop_
_atom_site_label
_atom_site_type_symbol
_atom_site_fract_x
_atom_site_fract_y
_atom_site_fract_z
Pr1 Pr 0.000 0.000 0.000
Zn1 Zn 0.000 0.500 0.250
Pd1 Pd 0.000 0.232 0.500
```

Values from the calculation:
The calculation puts the calculated formation energy at -7 kJ per mole of atoms. The magnetic moment comes out at 0.0 μB per formula unit. Its total energy is -57.142 eV/cell.

[2]
This record from Alexandria via LeMat-Bulk describes Pr3Zn8Pd3 after structural relaxation. The functional is PBE-GGA.

Geometry as CIF:
```
data_Pr3Zn8Pd3
_chemical_formula_sum 'Pr6 Zn16 Pd6'
_symmetry_space_group_name_H-M 'I m m m'
_symmetry_Int_Tables_number 71
_symmetry_space_group_name_Hall '-I 2 2'
_cell_length_a 4.311
_cell_length_b 9.460
_cell_length_c 13.166
_cell_angle_alpha 90.00
_cell_angle_beta 90.00
_cell_angle_gamma 90.00
loop_
_atom_site_label
_atom_site_type_symbol
_atom_site_fract_x
_atom_site_fract_y
_atom_site_fract_z
Pr1 Pr 0.000 0.000 0.000
Pr2 Pr 0.000 0.000 0.322
Zn1 Zn 0.000 0.277 0.124
Zn2 Zn 0.000 0.361 0.323
Pd1 Pd 0.000 0.229 0.500
Pd2 Pd 0.000 0.500 0.000
```

Values from the calculation:
The calculation puts the calculated formation energy at -47 kJ per mole of atoms. The magnetic moment comes out at 0.0 μB per formula unit. Its total energy is -93.993 eV/cell.

[3]
This record from Alexandria via LeMat-Bulk describes Pr2Zn3Pd4 after structural relaxation. The functional is PBE-GGA.

Geometry as CIF:
```
data_Pr2Zn3Pd4
_chemical_formula_sum 'Pr8 Zn12 Pd16'
_symmetry_space_group_name_H-M 'C m c e'
_symmetry_Int_Tables_number 64
_symmetry_space_group_name_Hall '-C 2ac 2'
_cell_length_a 5.686
_cell_length_b 15.686
_cell_length_c 7.675
_cell_angle_alpha 90.00
_cell_angle_beta 90.00
_cell_angle_gamma 90.00
loop_
_atom_site_label
_atom_site_type_symbol
_atom_site_fract_x
_atom_site_fract_y
_atom_site_fract_z
Pr1 Pr 0.000 0.114 0.079
Zn1 Zn 0.000 0.000 0.500
Zn2 Zn 0.250 0.227 0.750
Pd1 Pd 0.000 0.178 0.479
Pd2 Pd 0.250 0.060 0.750
```

Values from the calculation:
The calculation puts the calculated formation energy at -66 kJ per mole of atoms. The magnetic moment comes out at 0.0 μB per formula unit. Its total energy is -161.066 eV/cell.

[4]
This record from Alexandria via LeMat-Bulk describes Pr2Zn4Pd5 after structural relaxation. The functional is PBE-GGA.

Geometry as CIF:
```
data_Pr2Zn4Pd5
_chemical_formula_sum 'Pr8 Zn16 Pd20'
_symmetry_space_group_name_H-M 'F m m m'
_symmetry_Int_Tables_number 69
_symmetry_space_group_name_Hall '-F 2 2'
_cell_length_a 5.720
_cell_length_b 9.418
_cell_length_c 15.705
_cell_angle_alpha 90.00
_cell_angle_beta 90.00
_cell_angle_gamma 90.00
loop_
_atom_site_label
_atom_site_type_symbol
_atom_site_fract_x
_atom_site_fract_y
_atom_site_fract_z
Pr1 Pr 0.000 0.000 0.130
Zn1 Zn 0.000 0.155 0.370
Pd1 Pd 0.000 0.000 0.500
Pd2 Pd 0.250 0.250 0.000
Pd3 Pd 0.250 0.250 0.250
```

Values from the calculation:
The calculation puts the calculated formation energy at -59 kJ per mole of atoms. The magnetic moment comes out at 0.0 μB per formula unit. Its total energy is -189.370 eV/cell.

[5]
This record from Alexandria via LeMat-Bulk describes Pr2Zn12Pd5 after structural relaxation. The functional is PBE-GGA.

Geometry as CIF:
```
data_Pr2Zn12Pd5
_chemical_formula_sum 'Pr6 Zn36 Pd15'
_symmetry_space_group_name_H-M 'R -3 m'
_symmetry_Int_Tables_number 166
_symmetry_space_group_name_Hall '-R 3 2"'
_cell_length_a 9.2172
_cell_length_b 9.2172
_cell_length_c 13.1633
_cell_angle_alpha 90.00
_cell_angle_beta 90.00
_cell_angle_gamma 120.00
loop_
_atom_site_label
_atom_site_type_symbol
_atom_site_fract_x
_atom_site_fract_y
_atom_site_fract_z
Pr1 Pr 0.0000 0.0000 0.1650
Zn1 Zn 0.0000 0.2872 0.5000
Zn2 Zn 0.0019 0.5010 0.3474
Pd1 Pd 0.0000 0.0000 0.3955
Pd2 Pd 0.0000 0.5000 0.0000
```

Values from the calculation:
The calculation puts the calculated formation energy at -41 kJ per mole of atoms. The magnetic moment comes out at 0.0 μB per formula unit. Its total energy is -176.935 eV/cell.

[6]
This record from Alexandria via LeMat-Bulk describes Pr2Zn7Pd after structural relaxation. The functional is PBE-GGA.

Geometry as CIF:
```
data_Pr2Zn7Pd
_chemical_formula_sum 'Pr2 Zn7 Pd1'
_symmetry_space_group_name_H-M 'P -4 m 2'
_symmetry_Int_Tables_number 115
_cell_length_a 4.299
_cell_length_b 4.299
_cell_length_c 10.506
_cell_angle_alpha 90.00
_cell_angle_beta 90.00
_cell_angle_gamma 90.00
loop_
_symmetry_equiv_pos_as_xyz
'x,y,z'
'y,-x,-z'
'-x,-y,z'
'-y,x,-z'
'-x,y,z'
'-y,-x,-z'
'x,-y,z'
'y,x,-z'
loop_
_atom_site_label
_atom_site_type_symbol
_atom_site_fract_x
_atom_site_fract_y
_atom_site_fract_z
Pr1 Pr 0.000 0.500 0.248
Zn1 Zn 0.000 0.000 0.000
Zn2 Zn 0.000 0.500 0.634
Zn3 Zn 0.000 0.500 0.870
Zn4 Zn 0.500 0.500 0.000
Zn5 Zn 0.500 0.500 0.500
Pd1 Pd 0.000 0.000 0.500
```

Values from the calculation:
The calculation puts the calculated formation energy at -36 kJ per mole of atoms. The magnetic moment comes out at 0.0 μB per formula unit. Its total energy is -27.370 eV/cell.

[7]
This record from Alexandria via LeMat-Bulk describes PrZn2Pd after structural relaxation. The functional is PBE-GGA.

Geometry as CIF:
```
data_PrZn2Pd
_chemical_formula_sum 'Pr1 Zn2 Pd1'
_symmetry_space_group_name_H-M 'P 4/m m m'
_symmetry_Int_Tables_number 123
_symmetry_space_group_name_Hall '-P 4 2'
_cell_length_a 3.358
_cell_length_b 3.358
_cell_length_c 6.916
_cell_angle_alpha 90.00
_cell_angle_beta 90.00
_cell_angle_gamma 90.00
loop_
_atom_site_label
_atom_site_type_symbol
_atom_site_fract_x
_atom_site_fract_y
_atom_site_fract_z
Pr1 Pr 0.000 0.000 0.000
Zn1 Zn 0.500 0.500 0.312
Pd1 Pd 0.000 0.000 0.500
```

Values from the calculation:
The calculation puts the calculated formation energy at -38 kJ per mole of atoms. The magnetic moment comes out at 0.0 μB per formula unit. Its total energy is -14.095 eV/cell.

[8]
This record from Alexandria via LeMat-Bulk describes Pr5Zn4Pd after structural relaxation. The functional is PBE-GGA.

Geometry as CIF:
```
data_Pr5Zn4Pd
_chemical_formula_sum 'Pr5 Zn4 Pd1'
_symmetry_space_group_name_H-M 'P 4/m m m'
_symmetry_Int_Tables_number 123
_symmetry_space_group_name_Hall '-P 4 2'
_cell_length_a 3.721
_cell_length_b 3.721
_cell_length_c 18.333
_cell_angle_alpha 90.00
_cell_angle_beta 90.00
_cell_angle_gamma 90.00
loop_
_atom_site_label
_atom_site_type_symbol
_atom_site_fract_x
_atom_site_fract_y
_atom_site_fract_z
Pr1 Pr 0.000 0.000 0.000
Pr2 Pr 0.000 0.000 0.202
Pr3 Pr 0.000 0.000 0.404
Zn1 Zn 0.500 0.500 0.102
Zn2 Zn 0.500 0.500 0.301
Pd1 Pd 0.500 0.500 0.500
```

Values from the calculation:
The calculation puts the calculated formation energy at -37 kJ per mole of atoms. The magnetic moment comes out at 0.0 μB per formula unit. Its total energy is -38.035 eV/cell.

[9]
This record from Alexandria via LeMat-Bulk describes PrZn3Pd after structural relaxation. The functional is PBE-GGA.

Geometry as CIF:
```
data_PrZn3Pd
_chemical_formula_sum 'Pr2 Zn6 Pd2'
_symmetry_space_group_name_H-M 'P 1 21/m 1'
_symmetry_Int_Tables_number 11
_cell_length_a 5.530
_cell_length_b 5.577
_cell_length_c 6.137
_cell_angle_alpha 90.00
_cell_angle_beta 92.38
_cell_angle_gamma 90.00
loop_
_symmetry_equiv_pos_as_xyz
'x,y,z'
'-x,-y,-z'
'-x,y+1/2,-z'
'x,-y+1/2,z'
loop_
_atom_site_label
_atom_site_type_symbol
_atom_site_fract_x
_atom_site_fract_y
_atom_site_fract_z
Pr1 Pr 0.161 0.250 0.177
Zn1 Zn 0.331 0.012 0.669
Zn2 Zn 0.366 0.750 0.048
Pd1 Pd 0.086 0.750 0.375
```

Values from the calculation:
The calculation puts the calculated formation energy at -44 kJ per mole of atoms. The magnetic moment comes out at 0.0 μB per formula unit. Its total energy is -32.195 eV/cell. The energy above the most stable polymorph in this dataset is 0.000 kcal/mol of atoms.

[10]
This record from Alexandria via LeMat-Bulk describes Pr3Zn8Pd after structural relaxation. The functional is PBE-GGA.

Geometry as CIF:
```
data_Pr3Zn8Pd
_chemical_formula_sum 'Pr9 Zn24 Pd3'
_symmetry_space_group_name_H-M 'R 3 m'
_symmetry_Int_Tables_number 160
_symmetry_space_group_name_Hall 'R 3 -2"'
_cell_length_a 5.4443
_cell_length_b 5.4443
_cell_length_c 27.2938
_cell_angle_alpha 90.00
_cell_angle_beta 90.00
_cell_angle_gamma 120.00
loop_
_atom_site_label
_atom_site_type_symbol
_atom_site_fract_x
_atom_site_fract_y
_atom_site_fract_z
Pr1 Pr 0.0000 0.0000 0.0000
Pr2 Pr 0.0000 0.0000 0.1275
Pr3 Pr 0.0000 0.0000 0.6152
Zn1 Zn 0.0000 0.0000 0.3086
Zn2 Zn 0.0000 0.0000 0.8120
Zn3 Zn 0.0006 0.5003 0.5584
Zn4 Zn 0.0036 0.5018 0.0631
Pd1 Pd 0.0000 0.0000 0.5009
```

Values from the calculation:
The calculation puts the calculated formation energy at -30 kJ per mole of atoms. The magnetic moment comes out at 0.0 μB per formula unit. Its total energy is -100.518 eV/cell.

[11]
This record from Alexandria via LeMat-Bulk describes Pr2ZnPd3 after structural relaxation. The functional is PBE-GGA.

Geometry as CIF:
```
data_Pr2ZnPd3
_chemical_formula_sum 'Pr16 Zn8 Pd24'
_symmetry_space_group_name_H-M 'F m m m'
_symmetry_Int_Tables_number 69
_symmetry_space_group_name_Hall '-F 2 2'
_cell_length_a 7.482
_cell_length_b 9.021
_cell_length_c 15.760
_cell_angle_alpha 90.00
_cell_angle_beta 90.00
_cell_angle_gamma 90.00
loop_
_atom_site_label
_atom_site_type_symbol
_atom_site_fract_x
_atom_site_fract_y
_atom_site_fract_z
Pr1 Pr 0.247 0.000 0.000
Pr2 Pr 0.250 0.250 0.250
Zn1 Zn 0.000 0.000 0.334
Pd1 Pd 0.000 0.000 0.173
Pd2 Pd 0.000 0.241 0.414
```

Values from the calculation:
The calculation puts the calculated formation energy at -68 kJ per mole of atoms. The magnetic moment comes out at 0.0 μB per formula unit. Its total energy is -244.914 eV/cell.

[12]
This record from Alexandria via LeMat-Bulk describes PrZn4Pd2 after structural relaxation. The functional is PBE-GGA.

Geometry as CIF:
```
data_PrZn4Pd2
_chemical_formula_sum 'Pr2 Zn8 Pd4'
_symmetry_space_group_name_H-M 'I 4/m m m'
_symmetry_Int_Tables_number 139
_symmetry_space_group_name_Hall '-I 4 2'
_cell_length_a 7.388
_cell_length_b 7.388
_cell_length_c 5.741
_cell_angle_alpha 90.00
_cell_angle_beta 90.00
_cell_angle_gamma 90.00
loop_
_atom_site_label
_atom_site_type_symbol
_atom_site_fract_x
_atom_site_fract_y
_atom_site_fract_z
Pr1 Pr 0.000 0.000 0.000
Zn1 Zn 0.000 0.235 0.500
Pd1 Pd 0.000 0.500 0.250
```

Values from the calculation:
The calculation puts the calculated formation energy at -6 kJ per mole of atoms. The magnetic moment comes out at 0.0 μB per formula unit. Its total energy is -41.463 eV/cell. The energy above the most stable polymorph in this dataset is 10.715 kcal/mol of atoms.